First-principles (PBE-GGA) data for crystalline HfGaNi at its relaxed geometry, as listed in the Alexandria database.

Lattice parameters (Å, degrees): 12.2222 3.3304 6.9572 90.00 90.00 90.00
Fractional coordinates of all 18 atoms:
Hf 0.0517 0.0000 0.2246
Hf 0.2500 0.0000 0.8337
Hf 0.4483 0.0000 0.2246
Hf 0.5517 0.0000 0.7754
Hf 0.7500 0.0000 0.1663
Hf 0.9483 0.0000 0.7754
Ga 0.1140 0.5000 0.5679
Ga 0.2500 0.5000 0.1720
Ga 0.3860 0.5000 0.5679
Ga 0.6140 0.5000 0.4321
Ga 0.7500 0.5000 0.8280
Ga 0.8860 0.5000 0.4321
Ni 0.0928 0.5000 0.9300
Ni 0.2500 0.0000 0.4388
Ni 0.4072 0.5000 0.9300
Ni 0.5928 0.5000 0.0700
Ni 0.7500 0.0000 0.5612
Ni 0.9072 0.5000 0.0700

Computed properties:
VASP energy: -20.54 eV/f.u.
Calculated volume: 283.2 Å³/cell